Entry 1:
A relaxed structure of PrNd2H, computed with PBE.

The space group is R-3m (No. 166, hexagonal axes) and the conventional cell measures 3.7461, 3.7461 and 26.5960 Å, with angles of 90.00, 90.00 and 120.00 degrees. The asymmetric unit holds Pr at (0.0000, 0.0000, 0.0000), Nd at (0.0000, 0.0000, 0.2209) and H at (0.0000, 0.0000, 0.5000).

The polymorph energy (0 for the lowest one) comes out at 0.00 kcal/mol of atoms.

---

Entry 2:
A relaxed structure of B2Rh3, computed with PBE.

The space group is C2/c (No. 15) and the conventional cell measures 8.918, 5.153 and 5.877 Å, with angles of 90.00, 120.44 and 90.00 degrees. The asymmetric unit holds B at (0.089, 0.250, 0.017), Rh at (0.000, 0.075, 0.250) and Rh at (0.162, 0.412, 0.750).

The polymorph energy (0 for the lowest one) comes out at 0.00 kcal/mol of atoms. Its energy relative to the elements is -0.31 eV/atom.

---

Entry 3:
A relaxed structure of Mg2GaCuGe, computed with PBE.

The space group is P4/mmm (No. 123) and the conventional cell measures 4.963, 4.963 and 4.453 Å, with angles of 90.00, 90.00 and 90.00 degrees. The asymmetric unit holds Mg at (0.000, 0.500, 0.000), Ga at (0.000, 0.000, 0.500), Cu at (0.500, 0.500, 0.000) and Ge at (0.500, 0.500, 0.500).

Its energy relative to the elements is 0.16 eV/atom.

---

Entry 4:
A relaxed structure of Sc3AlO, computed with PBE.

The space group is P6_3/mmc (No. 194) and the conventional cell measures 6.2129, 6.2129 and 5.1722 Å, with angles of 90.00, 90.00 and 120.00 degrees. The asymmetric unit holds Sc at (0.1674, 0.3347, 0.2500), Al at (0.3333, 0.6667, 0.7500) and O at (0.0000, 0.0000, 0.0000).

The formation energy without anion corrections is -1.41 eV/atom.

---

Entry 5:
A relaxed structure of HfTiZn4, computed with PBE.

The space group is Pmmm (No. 47) and the conventional cell measures 3.006, 4.313 and 7.481 Å, with angles of 90.00, 90.00 and 90.00 degrees. The asymmetric unit holds Hf at (0.000, 0.000, 0.000), Ti at (0.000, 0.500, 0.500), Zn at (0.500, 0.000, 0.338) and Zn at (0.500, 0.500, 0.172).

The polymorph energy (0 for the lowest one) comes out at 0.24 kcal/mol of atoms. Its energy relative to the elements is -0.19 eV/atom.

---

Entry 6:
A relaxed structure of KBa2Re, computed with PBE.

The space group is R-3m (No. 166, hexagonal axes) and the conventional cell measures 4.0088, 4.0088 and 37.9130 Å, with angles of 90.00, 90.00 and 120.00 degrees. The asymmetric unit holds K at (0.0000, 0.0000, 0.0000), Ba at (0.0000, 0.0000, 0.2233) and Re at (0.0000, 0.0000, 0.5000).

The polymorph energy (0 for the lowest one) comes out at 3.37 kcal/mol of atoms. Its energy relative to the elements is 0.99 eV/atom.

---

Entry 7:
A relaxed structure of Ac4TlIrSe2, computed with PBE.

The space group is P2/m (No. 10) and the conventional cell measures 7.845, 4.447 and 8.179 Å, with angles of 90.00, 108.29 and 90.00 degrees. The asymmetric unit holds Ac at (0.224, 0.000, 0.260), Ac at (0.232, 0.500, 0.732), Tl at (0.500, 0.500, 0.500), Ir at (0.000, 0.000, 0.500), Se at (0.000, 0.500, 0.000) and Se at (0.500, 0.000, 0.000).

The formation energy without anion corrections is -1.11 eV/atom.

---

Entry 8:
A relaxed structure of Mg2ZrAl, computed with PBE.

The space group is Cmmm (No. 65) and the conventional cell measures 5.867, 9.821 and 2.903 Å, with angles of 90.00, 90.00 and 90.00 degrees. The asymmetric unit holds Mg at (0.250, 0.250, 0.000), Zr at (0.000, 0.000, 0.500) and Al at (0.000, 0.500, 0.500).

Its energy relative to the elements is -0.01 eV/atom.